The following is a DFT calculation (PBE with a Hubbard U) of a relaxed Cr3Fe2O12 crystal.

Cell lengths 6.6844, 8.4843, 9.9825 Å; angles 108.07, 104.89, 103.41 degrees
Positions (direct):
Cr: 0.1019 0.2578 0.1353
Cr: 0.2808 0.3382 0.7467
Cr: 0.3717 0.8878 0.6597
Cr: 0.6283 0.1122 0.3403
Cr: 0.7192 0.6618 0.2533
Cr: 0.8981 0.7422 0.8647
Fe: 0.1299 0.0466 0.3949
Fe: 0.4459 0.7912 0.9820
Fe: 0.5541 0.2088 0.0180
Fe: 0.8701 0.9534 0.6051
O: 0.0408 0.2142 0.7375
O: 0.0792 0.1469 0.2490
O: 0.1534 0.7884 0.9857
O: 0.1616 0.9487 0.5701
O: 0.2074 0.4639 0.2367
O: 0.2662 0.1961 0.0415
O: 0.2840 0.2807 0.5717
O: 0.3081 0.5506 0.8186
O: 0.3107 0.6808 0.5848
O: 0.4015 0.0142 0.3635
O: 0.4182 0.9459 0.8498
O: 0.4811 0.2962 0.8549
O: 0.5189 0.7038 0.1451
O: 0.5818 0.0541 0.1502
O: 0.5985 0.9858 0.6365
O: 0.6893 0.3192 0.4152
O: 0.6919 0.4494 0.1814
O: 0.7160 0.7193 0.4283
O: 0.7338 0.8039 0.9585
O: 0.7926 0.5361 0.7633
O: 0.8384 0.0513 0.4299
O: 0.8466 0.2116 0.0143
O: 0.9208 0.8531 0.7510
O: 0.9592 0.7858 0.2625

Computed properties:
ΔE to the lowest computed polymorph in meV/atom: 36
Spin magnetization in μB per atom: 0.58
ρ in Mg/m³: 3.1